(1)
The following is a DFT calculation (PBEsol) of a relaxed BaCa2Te crystal.

Geometry as CIF:
```
data_BaCa2Te
_chemical_formula_sum 'Ba1 Ca2 Te1'
_space_group_name_H-M_alt 'P 1'
_space_group_IT_number 1
_cell_length_a 4.236
_cell_length_b 5.746
_cell_length_c 7.223
_cell_angle_alpha 113.30
_cell_angle_beta 106.87
_cell_angle_gamma 90.43
loop_
_space_group_symop_operation_xyz
'x,y,z'
loop_
_atom_site_label
_atom_site_type_symbol
_atom_site_fract_x
_atom_site_fract_y
_atom_site_fract_z
Ca1 Ca 0.500 0.500 0.500
Ba1 Ba 0.000 0.500 0.000
Te1 Te 0.500 0.000 0.000
Ca2 Ca 0.000 0.000 0.500
```

Results
Total DFT energy (no corrections) = -3.016 eV per atom
Symmetry = C2/m (12)

(2)
The following is a DFT calculation (PBEsol) of a relaxed BaCa3Te crystal.

Geometry as CIF:
```
data_BaCa3Te
_chemical_formula_sum 'Ba1 Ca3 Te1'
_space_group_name_H-M_alt 'P 1'
_space_group_IT_number 1
_cell_length_a 5.731
_cell_length_b 5.731
_cell_length_c 5.731
_cell_angle_alpha 90.00
_cell_angle_beta 90.00
_cell_angle_gamma 90.00
loop_
_space_group_symop_operation_xyz
'x,y,z'
loop_
_atom_site_label
_atom_site_type_symbol
_atom_site_fract_x
_atom_site_fract_y
_atom_site_fract_z
Ba1 Ba 0.000 0.000 0.000
Ca1 Ca 0.000 0.500 0.000
Ca2 Ca 0.000 0.000 0.500
Te1 Te 0.500 0.500 0.500
Ca3 Ca 0.500 0.000 0.000
```

Results
Total DFT energy (no corrections) = -1.640 eV per atom
Symmetry = Pm-3m (221)

(3)
The following is a DFT calculation (PBEsol) of a relaxed BaCa2Te crystal.

Geometry as CIF:
```
data_BaCa2Te
_chemical_formula_sum 'Ba1 Ca2 Te1'
_space_group_name_H-M_alt 'P 1'
_space_group_IT_number 1
_cell_length_a 4.327
_cell_length_b 5.422
_cell_length_c 7.448
_cell_angle_alpha 111.35
_cell_angle_beta 90.00
_cell_angle_gamma 90.00
loop_
_space_group_symop_operation_xyz
'x,y,z'
loop_
_atom_site_label
_atom_site_type_symbol
_atom_site_fract_x
_atom_site_fract_y
_atom_site_fract_z
Ca1 Ca 0.000 0.926 0.852
Ca2 Ca 0.500 0.319 0.638
Te1 Te 0.000 0.154 0.308
Ba1 Ba 0.500 0.605 0.211
```

Results
Total DFT energy (no corrections) = -3.231 eV per atom
Symmetry = Amm2 (38)

no.,total magnetic moment (μB/atom),formation energy (no corrections) (eV/atom)
1,0.00,-0.53
2,0.00,0.78
3,0.00,-0.75